Density functional theory data (PBE-GGA) for crystalline NiSbBr2 at its relaxed geometry.

a = 4.8204 Å, b = 5.3346 Å, c = 4.8222 Å
α = 66.76°, β = 82.71°, γ = 113.23°
Sites, in units of the cell vectors:
Br: 0.0000 0.0000 0.0000
Br: 0.5000 0.0000 0.5000
Sb: 0.5000 0.5000 0.0000
Ni: 0.0000 0.5000 0.5000

Summary:
- Formation energy from raw total energies: 0.3446 eV/atom
- E_tot: -2.97 eV per atom
- Density of states at the Fermi level: 3.14 states/eV per cell

---

Density functional theory data (PBE-GGA) for crystalline NiSbBr3 at its relaxed geometry.

a = 5.6364 Å, b = 5.6364 Å, c = 5.6364 Å
α = 90.00°, β = 90.00°, γ = 90.00°
Sites, in units of the cell vectors:
Br: 0.5000 0.0000 0.0000
Sb: 0.0000 0.0000 0.0000
Br: 0.0000 0.5000 0.0000
Ni: 0.5000 0.5000 0.5000
Br: 0.0000 0.0000 0.5000

Summary:
- Formation energy from raw total energies: 0.4557 eV/atom
- E_tot: -2.53 eV per atom
- Density of states at the Fermi level: 4.34 states/eV per cell

---

Density functional theory data (PBE-GGA) for crystalline NiSb2Br at its relaxed geometry.

a = 6.4510 Å, b = 6.4510 Å, c = 7.4141 Å
α = 64.21°, β = 64.21°, γ = 90.00°
Sites, in units of the cell vectors:
Br: 0.0000 0.0000 0.0000
Ni: 0.5000 0.5000 0.0000
Sb: 0.3750 0.4702 0.7500
Sb: 0.5298 0.1250 0.2500
Br: 0.7500 0.2500 0.5000
Sb: 0.2202 0.6250 0.2500
Ni: 0.2500 0.7500 0.5000
Sb: 0.8750 0.7798 0.7500

Summary:
- Formation energy from raw total energies: 0.0984 eV/atom
- E_tot: -3.83 eV per atom
- Density of states at the Fermi level: 6.20 states/eV per cell

---

Density functional theory data (PBE-GGA) for crystalline NiSb2Br at its relaxed geometry.

a = 5.8426 Å, b = 5.8426 Å, c = 5.8426 Å
α = 144.16°, β = 122.17°, γ = 69.94°
Sites, in units of the cell vectors:
Sb: 0.0671 0.0671 0.0000
Br: 0.7500 0.2500 0.5000
Sb: 0.4329 0.4329 0.0000
Ni: 0.2500 0.7500 0.5000

Summary:
- Formation energy from raw total energies: 0.2107 eV/atom
- E_tot: -3.71 eV per atom
- Density of states at the Fermi level: 3.37 states/eV per cell

---

Density functional theory data (PBE-GGA) for crystalline ScNiSbBr2 at its relaxed geometry.

a = 4.7167 Å, b = 5.4950 Å, c = 4.7167 Å
α = 90.00°, β = 90.00°, γ = 90.00°
Sites, in units of the cell vectors:
Sb: 0.0000 0.5000 0.0000
Sc: 0.5000 0.5000 0.5000
Ni: 0.0000 0.0000 0.0000
Br: 0.0000 0.0000 0.5000
Br: 0.5000 0.0000 0.0000

Summary:
- Formation energy from raw total energies: -0.1118 eV/atom
- E_tot: -4.03 eV per atom
- Density of states at the Fermi level: 3.90 states/eV per cell

---

Density functional theory data (PBE-GGA) for crystalline NiSbSeBr2 at its relaxed geometry.

a = 4.7849 Å, b = 4.7849 Å, c = 4.9820 Å
α = 90.00°, β = 90.00°, γ = 90.00°
Sites, in units of the cell vectors:
Se: 0.0000 0.0000 0.5000
Ni: 0.0000 0.0000 0.0000
Br: 0.0000 0.5000 0.0000
Br: 0.5000 0.0000 0.0000
Sb: 0.5000 0.5000 0.5000

Summary:
- Formation energy from raw total energies: 0.0914 eV/atom
- E_tot: -3.26 eV per atom
- Density of states at the Fermi level: 2.89 states/eV per cell

---

Density functional theory data (PBE-GGA) for crystalline NiSbSe2Br at its relaxed geometry.

a = 5.3328 Å, b = 5.3328 Å, c = 5.4579 Å
α = 90.00°, β = 90.00°, γ = 90.00°
Sites, in units of the cell vectors:
Ni: 0.5000 0.5000 0.5000
Sb: 0.0000 0.0000 0.0000
Se: 0.0000 0.5000 0.0000
Se: 0.5000 0.0000 0.0000
Br: 0.0000 0.0000 0.5000

Summary:
- Formation energy from raw total energies: 0.7596 eV/atom
- E_tot: -2.95 eV per atom
- Density of states at the Fermi level: 11.04 states/eV per cell

---

Density functional theory data (PBE-GGA) for crystalline NiSbSeBr2 at its relaxed geometry.

a = 5.5376 Å, b = 5.5376 Å, c = 5.4365 Å
α = 90.00°, β = 90.00°, γ = 90.00°
Sites, in units of the cell vectors:
Br: 0.5000 0.0000 0.0000
Ni: 0.5000 0.5000 0.5000
Se: 0.0000 0.0000 0.5000
Br: 0.0000 0.5000 0.0000
Sb: 0.0000 0.0000 0.0000

Summary:
- Formation energy from raw total energies: 0.5772 eV/atom
- E_tot: -2.77 eV per atom
- Density of states at the Fermi level: 7.90 states/eV per cell

---

Density functional theory data (PBE-GGA) for crystalline NiSbSe2Br at its relaxed geometry.

a = 4.7968 Å, b = 4.7968 Å, c = 4.7817 Å
α = 90.00°, β = 90.00°, γ = 90.00°
Sites, in units of the cell vectors:
Br: 0.0000 0.0000 0.5000
Se: 0.5000 0.0000 0.0000
Se: 0.0000 0.5000 0.0000
Sb: 0.5000 0.5000 0.5000
Ni: 0.0000 0.0000 0.0000

Summary:
- Formation energy from raw total energies: 0.1443 eV/atom
- E_tot: -3.56 eV per atom
- Density of states at the Fermi level: 4.06 states/eV per cell

---

Density functional theory data (PBE-GGA) for crystalline TcNiSb2Br at its relaxed geometry.

a = 5.5502 Å, b = 4.2155 Å, c = 5.5502 Å
α = 90.00°, β = 90.00°, γ = 90.00°
Sites, in units of the cell vectors:
Ni: 0.0000 0.5000 0.0000
Sb: 0.0000 0.0000 0.5000
Sb: 0.5000 0.0000 0.0000
Br: 0.0000 0.0000 0.0000
Tc: 0.5000 0.5000 0.5000

Summary:
- Formation energy from raw total energies: 1.4149 eV/atom
- E_tot: -3.80 eV per atom
- Density of states at the Fermi level: 3.80 states/eV per cell

---

Density functional theory data (PBE-GGA) for crystalline NiSbTe2Br at its relaxed geometry.

a = 4.9779 Å, b = 4.9779 Å, c = 5.3943 Å
α = 90.00°, β = 90.00°, γ = 90.00°
Sites, in units of the cell vectors:
Ni: 0.0000 0.0000 0.0000
Te: 0.0000 0.5000 0.0000
Br: 0.5000 0.5000 0.5000
Te: 0.5000 0.0000 0.0000
Sb: 0.0000 0.0000 0.5000

Summary:
- Formation energy from raw total energies: 0.2605 eV/atom
- E_tot: -3.31 eV per atom
- Density of states at the Fermi level: 7.02 states/eV per cell

---

Density functional theory data (PBE-GGA) for crystalline NiSb2TeBr at its relaxed geometry.

a = 5.4367 Å, b = 5.4367 Å, c = 5.6772 Å
α = 90.00°, β = 90.00°, γ = 90.00°
Sites, in units of the cell vectors:
Ni: 0.5000 0.5000 0.5000
Te: 0.0000 0.0000 0.5000
Sb: 0.5000 0.0000 0.0000
Sb: 0.0000 0.5000 0.0000
Br: 0.0000 0.0000 0.0000

Summary:
- Formation energy from raw total energies: 1.3950 eV/atom
- E_tot: -2.37 eV per atom
- Density of states at the Fermi level: 9.61 states/eV per cell